1.
An optimized crystal structure of CdMoSe2. Source: the Alexandria database, functional PBE.

It has space group Pmm2 (No. 25), with a = 3.4056 Å, b = 4.0537 Å, c = 5.6848 Å, α = 90.00°, β = 90.00° and γ = 90.00°. Symmetry generates all atoms from Cd at (0.0000, 0.0000, 0.0000), Mo at (0.5000, 0.5000, 0.3747), Se at (0.0000, 0.0000, 0.4775) and Se at (0.5000, 0.5000, 0.8183).

For the formation energy without anion corrections, the calculation gives 161.4 meV/atom. The calculation puts the energy above the most stable polymorph in this dataset at 461.4 meV/atom. The density of states at the Fermi level is 3.5 states/eV per cell. The calculation puts the raw total energy at -18.1 eV per formula unit.


2.
An optimized crystal structure of AcCeSbO2. Source: the Alexandria database, functional PBE.

It has space group I4mm (No. 107), with a = 4.0802 Å, b = 4.0802 Å, c = 13.5332 Å, α = 90.00°, β = 90.00° and γ = 90.00°. Symmetry generates all atoms from Ac at (0.0000, 0.0000, 0.0000), Ce at (0.0000, 0.0000, 0.3128), Sb at (0.0000, 0.0000, 0.6628) and O at (0.0000, 0.5000, 0.3955).

For the formation energy without anion corrections, the calculation gives -2653.4 meV/atom. The density of states at the Fermi level is 8.5 states/eV per cell. The calculation puts the raw total energy at -37.3 eV per formula unit.


3.
An optimized crystal structure of CaPm3Pd12. Source: the Alexandria database, functional PBE.

It has space group P4/mmm (No. 123), with a = 4.1607 Å, b = 4.1607 Å, c = 16.7685 Å, α = 90.00°, β = 90.00° and γ = 90.00°. Symmetry generates all atoms from Ca at (0.0000, 0.0000, 0.0000), Pm at (0.0000, 0.0000, 0.2481), Pm at (0.0000, 0.0000, 0.5000), Pd at (0.0000, 0.5000, 0.1239), Pd at (0.0000, 0.5000, 0.3745), Pd at (0.5000, 0.5000, 0.0000), Pd at (0.5000, 0.5000, 0.2491) and Pd at (0.5000, 0.5000, 0.5000).

As for the energy relative to the elements: -0.7181 eV per atom. The density of states at the Fermi level is 10.6 states/eV per cell. The calculation puts the raw total energy at -90.1 eV per formula unit.


4.
An optimized crystal structure of Nd6Ho3Tm2Mg. Source: the Alexandria database, functional PBE.

It has space group C2/m (No. 12), with a = 6.2232 Å, b = 10.7828 Å, c = 11.7282 Å, α = 90.00°, β = 100.22° and γ = 90.00°. Symmetry generates all atoms from Nd at (0.2490, 0.0000, 0.2488), Nd at (0.2488, 0.3334, 0.2477), Ho at (0.0000, 0.0000, 0.5000), Ho at (0.0000, 0.3333, 0.5000), Tm at (0.0000, 0.1665, 0.0000) and Mg at (0.0000, 0.5000, 0.0000).

As for the energy relative to the elements: 0.0254 eV per atom. The density of states at the Fermi level is 24.5 states/eV per cell. The calculation puts the raw total energy at -52.6 eV per formula unit.